Density functional theory data (PBE) for a relaxed structure of Tc2HgIr. Values from VASP.

```
&SYSTEM
  ibrav = 0, nat = 4, ntyp = 3
/
ATOMIC_SPECIES
Ir 192.22 Ir.upf
Hg 200.59 Hg.upf
Tc 98.00 Tc.upf
CELL_PARAMETERS angstrom
-1.188 -3.092 3.713
4.846 0.020 -1.127
0.420 2.054 1.845
ATOMIC_POSITIONS crystal
Ir 0.000 0.500 0.500
Hg 0.500 0.000 0.500
Tc 0.000 0.000 0.000
Tc 0.500 0.500 0.000
```

## Properties
- Space group: Cmmm

---

Density functional theory data (PBE) for a relaxed structure of TcHg2Ir. Values from VASP.

```
&SYSTEM
  ibrav = 0, nat = 4, ntyp = 3
/
ATOMIC_SPECIES
Hg 200.59 Hg.upf
Ir 192.22 Ir.upf
Tc 98.00 Tc.upf
CELL_PARAMETERS angstrom
2.880 0.000 0.000
0.000 2.913 -0.240
0.000 2.193 8.579
ATOMIC_POSITIONS crystal
Hg 0.000 0.204 0.967
Hg 0.500 0.047 0.281
Ir 0.000 0.422 0.534
Tc 0.500 0.828 0.718
```

## Properties
- Space group: Pm
- Polymorph energy (0 for the lowest one): 0.000 eV per atom

---

Density functional theory data (PBE) for a relaxed structure of TcHgIr2. Values from VASP.

```
&SYSTEM
  ibrav = 0, nat = 4, ntyp = 3
/
ATOMIC_SPECIES
Tc 98.00 Tc.upf
Ir 192.22 Ir.upf
Hg 200.59 Hg.upf
CELL_PARAMETERS angstrom
-0.621 3.303 1.826
-2.356 0.398 -1.520
-5.502 -2.463 2.585
ATOMIC_POSITIONS crystal
Tc 0.500 0.250 0.250
Ir 0.000 0.973 0.027
Ir 0.000 0.527 0.473
Hg 0.500 0.750 0.750
```

## Properties
- Space group: P2/m

---

Density functional theory data (PBE) for a relaxed structure of Tc2HgIr2. Values from VASP.

```
&SYSTEM
  ibrav = 0, nat = 10, ntyp = 3
/
ATOMIC_SPECIES
Tc 98.00 Tc.upf
Ir 192.22 Ir.upf
Hg 200.59 Hg.upf
CELL_PARAMETERS angstrom
7.702 0.000 0.000
0.000 7.702 0.000
0.000 0.000 2.755
ATOMIC_POSITIONS crystal
Tc 0.170 0.670 0.500
Tc 0.670 0.830 0.500
Tc 0.330 0.170 0.500
Tc 0.830 0.330 0.500
Ir 0.878 0.622 0.000
Ir 0.122 0.378 0.000
Ir 0.378 0.878 0.000
Ir 0.622 0.122 0.000
Hg 0.000 0.000 0.000
Hg 0.500 0.500 0.000
```

## Properties
- Space group: P4/mbm
- Polymorph energy (0 for the lowest one): 0.000 eV per atom

---

Density functional theory data (PBE) for a relaxed structure of Tc2HgIr. Values from VASP.

```
&SYSTEM
  ibrav = 0, nat = 4, ntyp = 3
/
ATOMIC_SPECIES
Tc 98.00 Tc.upf
Ir 192.22 Ir.upf
Hg 200.59 Hg.upf
CELL_PARAMETERS angstrom
9.458 -0.012 -0.007
9.044 2.767 -0.007
9.044 1.347 2.417
ATOMIC_POSITIONS crystal
Tc 0.494 0.494 0.494
Tc 0.006 0.006 0.006
Ir 0.750 0.750 0.750
Hg 0.250 0.250 0.250
```

## Properties
- Space group: R-3m

---

Density functional theory data (PBE) for a relaxed structure of TcHgIr2. Values from VASP.

```
&SYSTEM
  ibrav = 0, nat = 4, ntyp = 3
/
ATOMIC_SPECIES
Ir 192.22 Ir.upf
Hg 200.59 Hg.upf
Tc 98.00 Tc.upf
CELL_PARAMETERS angstrom
-7.296 -0.992 5.916
-7.502 -3.462 4.577
-5.758 -3.192 6.773
ATOMIC_POSITIONS crystal
Ir 0.248 0.248 0.248
Ir 0.995 0.995 0.995
Hg 0.750 0.750 0.750
Tc 0.507 0.507 0.507
```

## Properties
- Space group: R3m

---

Density functional theory data (PBE) for a relaxed structure of TcHgIr2. Values from VASP.

```
&SYSTEM
  ibrav = 0, nat = 4, ntyp = 3
/
ATOMIC_SPECIES
Ir 192.22 Ir.upf
Hg 200.59 Hg.upf
Tc 98.00 Tc.upf
CELL_PARAMETERS angstrom
9.435 -0.017 -0.010
9.016 2.779 -0.010
9.016 1.350 2.429
ATOMIC_POSITIONS crystal
Ir 0.508 0.508 0.508
Ir 0.992 0.992 0.992
Hg 0.750 0.750 0.750
Tc 0.250 0.250 0.250
```

## Properties
- Space group: R-3m

---

Density functional theory data (PBE) for a relaxed structure of TcHg2Ir. Values from VASP.

```
&SYSTEM
  ibrav = 0, nat = 8, ntyp = 3
/
ATOMIC_SPECIES
Hg 200.59 Hg.upf
Ir 192.22 Ir.upf
Tc 98.00 Tc.upf
CELL_PARAMETERS angstrom
-3.729 -2.245 6.315
0.101 -7.244 -2.515
0.524 -5.142 3.138
ATOMIC_POSITIONS crystal
Hg 0.875 0.880 0.750
Hg 0.375 0.370 0.750
Hg 0.630 0.125 0.250
Hg 0.120 0.625 0.250
Ir 0.000 0.000 0.000
Ir 0.750 0.250 0.500
Tc 0.500 0.500 0.000
Tc 0.250 0.750 0.500
```

## Properties
- Space group: I-42d
- Polymorph energy (0 for the lowest one): 0.852 eV per atom

---

| no. | V (Å³/f.u.) | density of states at the Fermi level (states/eV/f.u.) | formation energy from the elements (eV per atom) |
| --- | --- | --- | --- |
| 1 | 63.2 | 5.98 | 0.50 |
| 2 | 73.5 | 2.36 | 0.21 |
| 3 | 64.0 | 3.56 | 0.26 |
| 4 | 81.7 | 7.25 | 0.23 |
| 5 | 63.7 | 3.99 | 0.30 |
| 6 | 64.0 | 6.63 | 0.30 |
| 7 | 64.3 | 4.44 | 0.17 |
| 8 | 78.7 | 4.10 | 1.06 |